[1]
# Co2CuSe

A geometry-optimized Co2CuSe structure (PBE, Alexandria).

abc: 8.2280 8.2280 8.2280
angles: 19.38 19.38 19.38
Last column: nearest neighbours and their distance in Å.
Sites, in units of the cell vectors:
Co 0.9982 0.9982 0.9982  3 Se 2.44, 3 Co 2.45
Cu 0.5061 0.5061 0.5061  3 Co 2.55, 6 Cu 2.77
Se 0.7410 0.7410 0.7410  3 Co 2.44
Co 0.2547 0.2547 0.2547  3 Co 2.45, 3 Cu 2.55

Calculated values
E_tot: -20.441 eV for the cell shown

[2]
# CoCuSe2

A geometry-optimized CoCuSe2 structure (PBE, Alexandria).

abc: 6.5072 6.5072 6.5072
angles: 151.18 150.32 41.85
Last column: nearest neighbours and their distance in Å.
Sites, in units of the cell vectors:
Co 0.4536 0.4536 0.0000  6 Se 2.45-2.54
Se 0.0385 0.0385 0.0000  4 Co 2.54, 2 Cu 2.62
Se 0.3029 0.8029 0.5000  2 Co 2.45, 4 Cu 2.61
Cu 0.7050 0.2050 0.5000  6 Se 2.61-2.62

Calculated values
E_tot: -17.762 eV for the cell shown

[3]
# Co2CuSe

A geometry-optimized Co2CuSe structure (PBE, Alexandria).

abc: 7.6103 7.6103 7.6103
angles: 21.62 21.62 21.62
Last column: nearest neighbours and their distance in Å.
Sites, in units of the cell vectors:
Se 0.7500 0.7500 0.7500  6 Co 2.43
Co 0.4968 0.4968 0.4968  3 Se 2.43, 3 Cu 2.54
Co 0.0032 0.0032 0.0032  3 Se 2.43, 3 Cu 2.54
Cu 0.2500 0.2500 0.2500  6 Co 2.54

Calculated values
E_tot: -20.386 eV for the cell shown

[4]
# CoCuSe2

A geometry-optimized CoCuSe2 structure (PBE, Alexandria).

abc: 4.9105 4.9105 6.3550
angles: 83.73 83.73 37.46
Last column: nearest neighbours and their distance in Å.
Sites, in units of the cell vectors:
Se 0.1785 0.1785 0.4034  2 Co 2.39, 2 Cu 2.46
Se 0.9703 0.9703 0.8762  2 Co 2.30, 1 Cu 2.39
Cu 0.8150 0.8150 0.6014  3 Se 2.39-2.46, 3 Co 2.58-2.61
Co 0.5362 0.5362 0.6191  4 Se 2.30-2.39

Calculated values
E_tot: -18.247 eV for the cell shown

[5]
# Co2CuSe

A geometry-optimized Co2CuSe structure (PBE, Alexandria).

abc: 4.1860 4.1860 4.1860
angles: 60.00 60.00 60.00
Last column: nearest neighbours and their distance in Å.
Sites, in units of the cell vectors:
Se 0.7500 0.7500 0.7500  4 Co 2.56, 4 Cu 2.56
Co 0.0000 0.0000 0.0000  4 Co 2.56, 4 Se 2.56
Cu 0.5000 0.5000 0.5000  4 Se 2.56, 4 Co 2.56
Co 0.2500 0.2500 0.2500  4 Co 2.56, 4 Cu 2.56

Calculated values
E_tot: -20.304 eV for the cell shown

[6]
# CoCu2Se

A geometry-optimized CoCu2Se structure (PBE, Alexandria).

abc: 4.4055 4.4055 4.1568
angles: 71.17 71.17 45.16
Last column: nearest neighbours and their distance in Å.
Sites, in units of the cell vectors:
Se 0.4878 0.4878 0.5787  3 Co 2.41-2.44, 3 Cu 2.54-2.65
Cu 0.9976 0.9976 0.0281  3 Cu 2.42-2.53, 2 Se 2.54
Cu 0.2506 0.2506 0.2082  3 Cu 2.42-2.53, 2 Co 2.64, 1 Se 2.65
Co 0.7640 0.7640 0.6849  3 Se 2.41-2.44, 2 Cu 2.64

Calculated values
E_tot: -17.929 eV for the cell shown

[7]
# CoCu2Se

A geometry-optimized CoCu2Se structure (PBE, Alexandria).

abc: 4.5134 2.9233 4.1180
angles: 90.07 90.00 90.00
Last column: nearest neighbours and their distance in Å.
Sites, in units of the cell vectors:
Cu 0.0000 0.4857 0.5102  4 Cu 2.41-2.64, 2 Co 2.58, 2 Se 2.59
Cu 0.0000 0.0143 0.9898  4 Cu 2.41-2.64, 2 Co 2.58, 2 Se 2.59
Co 0.5000 0.7500 0.7500  4 Se 2.52-2.53, 4 Cu 2.58
Se 0.5000 0.2500 0.2500  4 Co 2.52-2.53, 4 Cu 2.59

Calculated values
E_tot: -17.598 eV for the cell shown

[8]
# Co2CuSe

A geometry-optimized Co2CuSe structure (PBE, Alexandria).

abc: 4.1188 4.1188 4.6881
angles: 79.25 79.25 40.89
Last column: nearest neighbours and their distance in Å.
Sites, in units of the cell vectors:
Cu 0.7500 0.7500 0.7500  6 Co 2.46-2.53, 4 Se 2.75
Co 0.9974 0.9974 0.0087  3 Se 2.44-2.48, 3 Cu 2.46-2.53, 2 Co 2.69
Se 0.2500 0.2500 0.2500  6 Co 2.44-2.48
Co 0.5026 0.5026 0.4913  3 Se 2.44-2.48, 3 Cu 2.46-2.53, 2 Co 2.69

Calculated values
E_tot: -20.601 eV for the cell shown

Number 1: size of the total moment 2.79 μB per cell, raw formation energy 338 meV per atom. Number 2: size of the total moment 1.26 μB per cell, raw formation energy 102 meV per atom. Number 3: size of the total moment 2.49 μB per cell, raw formation energy 352 meV per atom. Number 4: size of the total moment 1.43 μB per cell, raw formation energy -19 meV per atom. Number 5: size of the total moment 3.02 μB per cell, raw formation energy 372 meV per atom. Number 6: size of the total moment 0.93 μB per cell, raw formation energy 213 meV per atom. Number 7: size of the total moment 0.88 μB per cell, raw formation energy 296 meV per atom. Number 8: size of the total moment 2.33 μB per cell, raw formation energy 298 meV per atom.